# CoBiH3 GGA-PBE relaxed
data_CoBiH3
_chemical_formula_sum 'Co1 Bi1 H3'
_cell_length_a 3.594
_cell_length_b 3.594
_cell_length_c 3.594
_cell_angle_alpha 90.00
_cell_angle_beta 90.00
_cell_angle_gamma 90.00
_symmetry_space_group_name_H-M 'P m -3 m'
_symmetry_Int_Tables_number 221
_symmetry_space_group_name_Hall '-P 4 2 3'
loop_
_atom_site_label
_atom_site_type_symbol
_atom_site_fract_x
_atom_site_fract_y
_atom_site_fract_z
Co1 Co 0.000 0.000 0.000
Bi1 Bi 0.500 0.500 0.500
H1 H 0.000 0.000 0.500
# Total magnetic moment, Bohr magnetons per cell: 0.0
# Energy relative to the lowest polymorph listed for this composition, meV per atom: 0